NaLa2Tm3Te6 | Alexandria via LeMat-Bulk | PBE | optimized geometry; total moment = 0.00 μB per cell; SG = C2/m, No. 12; ΔE_f (raw) = -1363 meV/atom
1.0
4.3834 0.0000 0.0000
0.0000 8.9757 0.2273
-2.1917 -2.6841 9.3587
Na Te Tm La
1 6 3 2
Cartesian
2.1917 0.0000 0.0000
0.0000 6.6516 0.2436
2.1917 -0.2915 3.1733
2.1917 -0.3600 9.3423
2.1917 4.4674 3.1352
0.0000 1.8242 6.4508
0.0000 6.5831 6.4126
2.1917 -0.2301 6.2609
2.1917 4.4879 0.1136
0.0000 6.5217 3.3250
2.1917 4.1506 6.3292
0.0000 2.1410 3.2568